[1]
Crystalline Tl2RhPbI at its relaxed geometry, computed with PBE-GGA.

Structure (CIF):
```
data_Tl2RhPbI
_chemical_formula_sum 'Tl2 Rh1 Pb1 I1'
_symmetry_space_group_name_H-M 'P 4/m m m'
_symmetry_Int_Tables_number 123
_symmetry_space_group_name_Hall '-P 4 2'
_cell_length_a 5.3984
_cell_length_b 5.3984
_cell_length_c 5.3117
_cell_angle_alpha 90.00
_cell_angle_beta 90.00
_cell_angle_gamma 90.00
loop_
_atom_site_label
_atom_site_fract_x
_atom_site_fract_y
_atom_site_fract_z
Tl1 0.0000 0.5000 0.0000
Rh1 0.0000 0.0000 0.0000
Pb1 0.0000 0.0000 0.5000
I1 0.5000 0.5000 0.5000
```

- formation energy from raw total energies (eV/f.u.) = -1.241
- size of the total moment (μB/f.u.) = 0.0
- DOS at the Fermi energy (states/eV per cell) = 1.29

=====

[2]
Crystalline TlRhPb2I at its relaxed geometry, computed with PBE-GGA.

Structure (CIF):
```
data_TlRhPb2I
_chemical_formula_sum 'Tl1 Rh1 Pb2 I1'
_symmetry_space_group_name_H-M 'P 4/m m m'
_symmetry_Int_Tables_number 123
_symmetry_space_group_name_Hall '-P 4 2'
_cell_length_a 5.3499
_cell_length_b 5.3499
_cell_length_c 5.4613
_cell_angle_alpha 90.00
_cell_angle_beta 90.00
_cell_angle_gamma 90.00
loop_
_atom_site_label
_atom_site_fract_x
_atom_site_fract_y
_atom_site_fract_z
Tl1 0.0000 0.0000 0.0000
Rh1 0.0000 0.0000 0.5000
Pb1 0.0000 0.5000 0.5000
I1 0.5000 0.5000 0.0000
```

- formation energy from raw total energies (eV/f.u.) = -0.830
- size of the total moment (μB/f.u.) = 0.0
- DOS at the Fermi energy (states/eV per cell) = 2.22

=====

[3]
Crystalline Ru2PbI at its relaxed geometry, computed with PBE-GGA.

Structure (CIF):
```
data_Ru2PbI
_chemical_formula_sum 'Ru8 Pb4 I4'
_symmetry_space_group_name_H-M 'I -4 2 d'
_symmetry_Int_Tables_number 122
_symmetry_space_group_name_Hall 'I -4 2bw'
_cell_length_a 6.0139
_cell_length_b 6.0139
_cell_length_c 11.9925
_cell_angle_alpha 90.00
_cell_angle_beta 90.00
_cell_angle_gamma 90.00
loop_
_atom_site_label
_atom_site_fract_x
_atom_site_fract_y
_atom_site_fract_z
Ru1 0.2283 0.2500 0.1250
Pb1 0.0000 0.0000 0.5000
I1 0.0000 0.0000 0.0000
```

- formation energy from raw total energies (eV/f.u.) = 4.063
- excess energy over the best structure of this formula in the dataset (meV/atom) = 143
- size of the total moment (μB/f.u.) = 0.0
- DOS at the Fermi energy (states/eV per cell) = 41.19

=====

Question: DOS at the Fermi energy of number 3 (Ru2PbI)?
Answer: 41.19 states/eV per cell